Model A:
Tl2SeI GGA-PBE relaxed; theoretical density = 8.0 g/cm3; symmetry = No. 225; D(E_F) = 4.33 states/eV/f.u.
1.0
7.9998 0.0000 0.0000
0.0000 7.9998 0.0000
0.0000 0.0000 7.9998
Tl Se I
8 4 4
Cartesian
1.9999 1.9999 1.9999
1.9999 1.9999 5.9998
1.9999 5.9998 1.9999
1.9999 5.9998 5.9998
5.9998 1.9999 1.9999
5.9998 1.9999 5.9998
5.9998 5.9998 1.9999
5.9998 5.9998 5.9998
0.0000 0.0000 0.0000
0.0000 3.9999 3.9999
3.9999 0.0000 3.9999
3.9999 3.9999 0.0000
0.0000 0.0000 3.9999
0.0000 3.9999 0.0000
3.9999 0.0000 0.0000
3.9999 3.9999 3.9999

---

Model B:
Tl2SeI GGA-PBE relaxed; theoretical density = 7.0 g/cm3; symmetry = No. 12; D(E_F) = 2.49 states/eV/f.u.
1.0
15.3436 0.0000 0.0000
0.0000 6.3115 0.0000
-2.8264 0.0000 6.0045
Tl Se I
8 4 4
Cartesian
0.4125 0.0000 2.0227
-0.1323 3.1557 5.4554
4.9777 0.0000 0.5491
4.4329 3.1557 3.9819
8.0843 3.1557 2.0227
7.5395 0.0000 5.4554
12.6495 3.1557 0.5491
12.1047 0.0000 3.9819
-0.5264 0.0000 5.2709
5.3718 3.1557 0.7337
7.1454 3.1557 5.2709
13.0436 0.0000 0.7337
0.9789 3.1557 2.3114
3.8665 0.0000 3.6931
8.6507 0.0000 2.3114
11.5383 3.1557 3.6931

---

Model C:
Tl2SeI GGA-PBE relaxed; theoretical density = 7.3 g/cm3; symmetry = No. 166; D(E_F) = 2.98 states/eV/f.u.
1.0
4.5714 0.0000 0.0000
-2.2857 3.9590 0.0000
0.0000 0.0000 23.2172
Tl Se I
6 3 3
Cartesian
0.0000 0.0000 5.4743
0.0000 0.0000 17.7429
0.0000 2.6393 10.0038
0.0000 2.6393 20.9524
2.2857 1.3197 2.2647
2.2857 1.3197 13.2134
0.0000 0.0000 11.6086
0.0000 2.6393 3.8695
2.2857 1.3197 19.3476
0.0000 0.0000 0.0000
0.0000 2.6393 15.4781
2.2857 1.3197 7.7391

---

Model D:
Tl2SeI GGA-PBE relaxed; theoretical density = 8.1 g/cm3; symmetry = No. 123; D(E_F) = 3.13 states/eV/f.u.
1.0
3.9471 0.0000 0.0000
0.0000 3.9471 0.0000
0.0000 0.0000 8.1374
Tl Se I
2 1 1
Cartesian
0.0000 0.0000 1.7552
0.0000 0.0000 6.3822
1.9736 1.9736 0.0000
1.9736 1.9736 4.0687

---

Tell me which of them is the least stable. Sure, it is model A.

---

Model A:
Tl2SeI GGA-PBE relaxed; theoretical density = 6.4 g/cm3; symmetry = No. 122; D(E_F) = 2.95 states/eV/f.u.
1.0
8.2633 0.0000 0.0000
0.0000 8.2633 0.0000
0.0000 0.0000 9.3638
Tl Se I
8 4 4
Cartesian
1.7217 2.0658 1.1705
2.0658 5.8534 3.5114
2.0658 6.5416 8.1933
2.4100 2.0658 5.8524
5.8534 6.1975 5.8524
6.1975 1.7217 8.1933
6.1975 2.4100 3.5114
6.5416 6.1975 1.1705
0.0000 0.0000 0.0000
0.0000 4.1317 2.3409
4.1317 0.0000 7.0228
4.1317 4.1317 4.6819
0.0000 0.0000 4.6819
0.0000 4.1317 7.0228
4.1317 0.0000 2.3409
4.1317 4.1317 0.0000

---

Model B:
Tl2SeI GGA-PBE relaxed; theoretical density = 7.3 g/cm3; symmetry = No. 160; D(E_F) = 3.14 states/eV/f.u.
1.0
4.4838 0.0000 0.0000
-2.2419 3.8831 0.0000
0.0000 0.0000 24.2460
Tl Se I
6 3 3
Cartesian
0.0000 0.0000 0.0000
0.0000 0.0000 4.7162
0.0000 2.5887 16.1640
0.0000 2.5887 20.8802
2.2419 1.2944 8.0820
2.2419 1.2944 12.7982
0.0000 0.0000 14.4127
0.0000 2.5887 6.3307
2.2419 1.2944 22.4947
0.0000 0.0000 18.5915
0.0000 2.5887 10.5095
2.2419 1.2944 2.4275

---

Tell me which of them is the least stable. Sure, it is model A.

---

Model A:
TlSeI2 GGA-PBE relaxed; theoretical density = 4.7 g/cm3; symmetry = No. 122; D(E_F) = 1.34 states/eV/f.u.
1.0
6.4277 0.0000 0.0000
0.0000 6.4277 0.0000
0.0000 0.0000 18.4423
Tl Se I
4 4 8
Cartesian
0.0000 0.0000 0.0000
0.0000 3.2138 4.6106
3.2138 0.0000 13.8317
3.2138 3.2138 9.2212
0.0000 0.0000 9.2212
0.0000 3.2138 13.8317
3.2138 0.0000 4.6106
3.2138 3.2138 0.0000
1.0347 1.6069 11.5264
1.6069 4.2485 16.1370
1.6069 5.3930 6.9159
2.1792 1.6069 2.3053
4.2485 4.8208 2.3053
4.8208 1.0347 6.9159
4.8208 2.1792 16.1370
5.3930 4.8208 11.5264

---

Model B:
TlSeI2 GGA-PBE relaxed; theoretical density = 6.3 g/cm3; symmetry = No. 225; D(E_F) = 1.81 states/eV/f.u.
1.0
8.2799 0.0000 0.0000
0.0000 8.2799 0.0000
0.0000 0.0000 8.2799
Tl Se I
4 4 8
Cartesian
0.0000 0.0000 0.0000
0.0000 4.1400 4.1400
4.1400 0.0000 4.1400
4.1400 4.1400 0.0000
0.0000 0.0000 4.1400
0.0000 4.1400 0.0000
4.1400 0.0000 0.0000
4.1400 4.1400 4.1400
2.0700 2.0700 2.0700
2.0700 2.0700 6.2099
2.0700 6.2099 2.0700
2.0700 6.2099 6.2099
6.2099 2.0700 2.0700
6.2099 2.0700 6.2099
6.2099 6.2099 2.0700
6.2099 6.2099 6.2099

---

Tell me which of them is the least stable. Sure, it is model B.

---

Model A:
Tl5Se2I GGA-PBE relaxed; theoretical density = 8.0 g/cm3; symmetry = No. 140
1.0
-4.4086 4.4086 7.0104
4.4086 -4.4086 7.0104
4.4086 4.4086 -7.0104
Tl Se I
10 4 2
Cartesian
0.0000 0.0000 0.0000
5.6777 1.2690 -1.9049
1.2690 3.1396 -1.9049
5.6777 1.2690 1.9049
1.2690 3.1396 1.9049
0.0000 0.0000 7.0104
3.1396 1.2690 5.1054
-1.2690 3.1396 5.1054
3.1396 1.2690 8.9153
-1.2690 3.1396 8.9153
2.9845 1.4241 0.0000
2.9845 -1.4241 7.0104
1.4241 5.8327 0.0000
1.4241 2.9845 7.0104
0.0000 0.0000 3.5052
0.0000 0.0000 10.5156

---

Model B:
Tl5Se2I GGA-PBE relaxed; theoretical density = 7.3 g/cm3; symmetry = No. 63
1.0
2.4582 -6.5676 0.0000
2.4582 6.5676 0.0000
0.0000 0.0000 18.4632
Tl Se I
10 4 2
Cartesian
2.4582 5.8481 11.5671
2.4582 5.8481 16.1276
2.4582 3.6408 4.6158
2.4582 1.7084 0.1778
2.4582 1.7084 9.0538
2.4582 -1.7084 9.4094
2.4582 -1.7084 18.2854
2.4582 -3.6408 13.8474
2.4582 -5.8481 2.3355
2.4582 -5.8481 6.8961
2.4582 4.4858 1.4944
2.4582 4.4858 7.7371
2.4582 -4.4858 10.7260
2.4582 -4.4858 16.9687
2.4582 0.3619 13.8474
2.4582 -0.3619 4.6158

---

Tell me which of them is the least stable. Sure, it is model B.

---

Model A:
TlSeI3 GGA-PBE relaxed; theoretical density = 5.5 g/cm3; symmetry = No. 221; D(E_F) = 1.04 states/eV/f.u.
1.0
5.8516 0.0000 0.0000
0.0000 5.8516 0.0000
0.0000 0.0000 5.8516
Tl Se I
1 1 3
Cartesian
0.0000 0.0000 0.0000
2.9258 2.9258 2.9258
0.0000 2.9258 2.9258
2.9258 0.0000 2.9258
2.9258 2.9258 0.0000

---

Model B:
TlSeI3 GGA-PBE relaxed; theoretical density = 4.9 g/cm3; symmetry = No. 221; D(E_F) = 3.76 states/eV/f.u.
1.0
6.0889 0.0000 0.0000
0.0000 6.0889 0.0000
0.0000 0.0000 6.0889
Tl Se I
1 1 3
Cartesian
0.0000 0.0000 0.0000
3.0444 3.0444 3.0444
0.0000 0.0000 3.0444
0.0000 3.0444 0.0000
3.0444 0.0000 0.0000

---

Tell me which of them is the least stable. Sure, it is model B.

---

Model A:
Tl2SeI2 GGA-PBE relaxed; theoretical density = 5.8 g/cm3; symmetry = No. 139; D(E_F) = 0.00 states/eV/f.u.
1.0
6.7875 0.0000 0.0000
0.0000 6.7875 0.0000
0.0000 0.0000 9.2790
Tl Se I
4 2 4
Cartesian
0.0000 3.3937 2.3197
0.0000 3.3937 6.9592
3.3937 0.0000 2.3197
3.3937 0.0000 6.9592
0.0000 0.0000 0.0000
3.3937 3.3937 4.6395
0.0000 0.0000 2.8272
0.0000 0.0000 6.4518
3.3937 3.3937 1.8123
3.3937 3.3937 7.4667

---

Model B:
Tl2SeI2 GGA-PBE relaxed; theoretical density = 6.6 g/cm3; symmetry = No. 127; D(E_F) = 3.03 states/eV/f.u.
1.0
8.6350 0.0000 0.0000
0.0000 8.6350 0.0000
0.0000 0.0000 4.9689
Tl Se I
4 2 4
Cartesian
1.3845 2.9330 0.0000
2.9330 7.2504 0.0000
5.7020 1.3845 0.0000
7.2504 5.7020 0.0000
0.0000 0.0000 0.0000
4.3175 4.3175 0.0000
1.3815 5.6990 2.4845
2.9359 1.3815 2.4845
5.6990 7.2534 2.4845
7.2534 2.9359 2.4845

---

Model C:
Tl2SeI2 GGA-PBE relaxed; theoretical density = 6.6 g/cm3; symmetry = No. 127; D(E_F) = 0.00 states/eV/f.u.
1.0
8.7116 0.0000 0.0000
0.0000 8.7116 0.0000
0.0000 0.0000 4.9214
Tl Se I
4 2 4
Cartesian
1.2866 3.0692 0.0000
3.0692 7.4250 0.0000
5.6424 1.2866 0.0000
7.4250 5.6424 0.0000
0.0000 0.0000 2.4607
4.3558 4.3558 2.4607
1.5124 5.8682 2.4607
2.8434 1.5124 2.4607
5.8682 7.1992 2.4607
7.1992 2.8434 2.4607

---

Tell me which of them is the least stable. Sure, it is model B.

---

Model A:
USe2I GGA-PBE relaxed; theoretical density = 6.2 g/cm3; symmetry = No. 160; D(E_F) = 5.82 states/eV/f.u.
1.0
4.5296 0.0000 0.0000
-2.2648 3.9228 0.0000
0.0000 0.0000 23.7054
U Se I
3 6 3
Cartesian
0.0000 0.0000 0.0000
0.0000 2.6152 15.8036
2.2648 1.3076 7.9018
0.0000 0.0000 9.2426
0.0000 0.0000 14.9791
0.0000 2.6152 1.3408
0.0000 2.6152 7.0773
2.2648 1.3076 17.1445
2.2648 1.3076 22.8809
0.0000 0.0000 20.6642
0.0000 2.6152 12.7623
2.2648 1.3076 4.8605

---

Model B:
USe2I GGA-PBE relaxed; theoretical density = 6.1 g/cm3; symmetry = No. 166; D(E_F) = 6.91 states/eV/f.u.
1.0
4.0126 0.0000 0.0000
-2.0063 3.4750 0.0000
0.0000 0.0000 30.7561
U Se I
3 6 3
Cartesian
0.0000 0.0000 0.0000
0.0000 2.3167 20.5040
2.0063 1.1583 10.2520
0.0000 0.0000 8.6756
0.0000 0.0000 22.0804
0.0000 2.3167 11.8284
0.0000 2.3167 29.1797
2.0063 1.1583 1.5764
2.0063 1.1583 18.9276
0.0000 0.0000 15.3780
0.0000 2.3167 5.1260
2.0063 1.1583 25.6300

---

Tell me which of them is the least stable. Sure, it is model B.

---

Model A:
V3SeI GGA-PBE relaxed; theoretical density = 4.3 g/cm3; symmetry = No. 221; D(E_F) = 11.49 states/eV/f.u.
1.0
5.1713 0.0000 0.0000
0.0000 5.1713 0.0000
0.0000 0.0000 5.1713
V Se I
3 1 1
Cartesian
0.0000 0.0000 2.5856
0.0000 2.5856 0.0000
2.5856 0.0000 0.0000
2.5856 2.5856 2.5856
0.0000 0.0000 0.0000

---

Model B:
V3SeI GGA-PBE relaxed; theoretical density = 5.7 g/cm3; symmetry = No. 221; D(E_F) = 8.95 states/eV/f.u.
1.0
4.6998 0.0000 0.0000
0.0000 4.6998 0.0000
0.0000 0.0000 4.6998
V Se I
3 1 1
Cartesian
0.0000 0.0000 2.3499
0.0000 2.3499 0.0000
2.3499 0.0000 0.0000
0.0000 0.0000 0.0000
2.3499 2.3499 2.3499

---

Tell me which of them is the least stable. Sure, it is model A.